This record from Alexandria via LeMat-Bulk describes a relaxed structure of TaTeSI2. The functional is PBE.

a b c (Å): 5.401 5.401 5.211
angles (deg): 90.00 90.00 90.00
Space group P4/mmm (No. 123)
Symmetry-distinct sites (fractional):
Ta (0.000, 0.000, 0.000) (multiplicity 1)
Te (0.500, 0.500, 0.000) (multiplicity 1)
S (0.500, 0.500, 0.500) (multiplicity 1)
I (0.000, 0.500, 0.500) (multiplicity 2)

**D(E_F)**: 1.01 states/eV per atom
**E_form (uncorrected)**: 1258 meV/atom
**E above lowest polymorph**: 0.721 eV per atom